# CaTcAu

CaTcAu after structural relaxation (PBE, Alexandria via LeMat-Bulk).

The space group is I4mm (No. 107) and the conventional cell measures 2.8718, 2.8718 and 13.7855 Å, with angles of 90.00, 90.00 and 90.00 degrees. The inequivalent atoms are Ca at (0.0000, 0.0000, 0.0000), Tc at (0.0000, 0.0000, 0.6731) and Au at (0.0000, 0.0000, 0.3217).

The final energy comes out at -4.9035 eV per atom. The relative energy among the computed polymorphs is 0 meV/atom. As for the crystal system: tetragonal. The formation energy comes out at 0.9 eV per formula unit.